# 1
CsAcNbN3 | GGA-PBE | optimized geometry

Space group: C2/m (12)
Formation energy from raw total energies: -0.459 eV per atom
Electronic total energy: -85.52 eV for the cell shown

a = 4.1515 Å, b = 7.6321 Å, c = 8.8335 Å
α = 104.52°, β = 90.00°, γ = 105.78°
Closest atoms and distances in Å follow each position.
Fractional coordinates of all 12 atoms:
N 0.4886 0.9772 0.6629  2 Nb 2.08
Ac 0.3409 0.6818 0.4139  7 N 2.66-2.76
N 0.1556 0.3112 0.3848  1 Nb 2.08
Nb 0.9908 0.9816 0.6789  4 N 1.98-2.08
Cs 0.6428 0.2856 0.0620  7 N 3.29-3.66
Ac 0.6591 0.3182 0.5861  7 N 2.66-2.76
N 0.1295 0.2591 0.7665  1 Nb 1.98
N 0.8444 0.6888 0.6152  1 Nb 2.08
Cs 0.3572 0.7144 0.9380  7 N 3.29-3.66
N 0.5114 0.0228 0.3371  2 Nb 2.08
Nb 0.0092 0.0184 0.3211  4 N 1.98-2.08
N 0.8705 0.7409 0.2335  1 Nb 1.98


# 2
Cs2AcRe2N6 | GGA-PBE | optimized geometry

Space group: C2/m (12)
Formation energy from raw total energies: -0.325 eV per atom
Electronic total energy: -84.24 eV for the cell shown

a = 6.6872 Å, b = 6.7103 Å, c = 7.7761 Å
α = 116.17°, β = 90.00°, γ = 119.89°
Closest atoms and distances in Å follow each position.
Fractional coordinates of all 11 atoms:
Ac 0.5000 0.0000 0.5000  6 N 2.63
Re 0.9370 0.8739 0.7964  3 N 1.79
Re 0.0630 0.1261 0.2036  3 N 1.79
N 0.7624 0.5248 0.7146  1 Re 1.79
N 0.2175 0.9858 0.7356  1 Re 1.79
Cs 0.2805 0.5610 0.8297  8 N 3.39-3.56
Cs 0.7195 0.4390 0.1703  8 N 3.39-3.56
N 0.2317 0.0142 0.2644  1 Re 1.79
N 0.7683 0.9858 0.7356  1 Re 1.79
N 0.7825 0.0142 0.2644  1 Re 1.79
N 0.2376 0.4752 0.2854  1 Re 1.79


# 3
CsAcTaN3 | GGA-PBE | optimized geometry

Space group: C2/m (12)
Formation energy from raw total energies: -0.541 eV per atom
Electronic total energy: -90.07 eV for the cell shown

a = 4.1379 Å, b = 7.6335 Å, c = 8.8308 Å
α = 104.54°, β = 90.00°, γ = 105.73°
Closest atoms and distances in Å follow each position.
Fractional coordinates of all 12 atoms:
N 0.8713 0.7427 0.2340  1 Ta 1.99
N 0.5118 0.0236 0.3340  2 Ta 2.07
Ta 0.9901 0.9801 0.6737  4 N 1.99-2.07
Ac 0.6610 0.3219 0.5889  7 N 2.66-2.79
N 0.1287 0.2573 0.7660  1 Ta 1.99
Ac 0.3390 0.6781 0.4111  7 N 2.66-2.79
Ta 0.0099 0.0199 0.3263  4 N 1.99-2.07
N 0.8454 0.6907 0.6153  1 Ta 2.05
N 0.1546 0.3093 0.3847  1 Ta 2.05
Cs 0.3588 0.7176 0.9400  7 N 3.29-3.62
N 0.4882 0.9764 0.6660  2 Ta 2.07
Cs 0.6412 0.2824 0.0600  7 N 3.29-3.62